Record 1
{
  "formula": "Ba2CaHf",
  "functional": "PBE",
  "state": "relaxed",
  "e_above_lowest_polymorph_mev_per_atom": 98,
  "final_energy_ev_per_atom": -3.23,
  "formation_enthalpy_0k_ev_per_atom": 0.72,
  "sg": "No. 166",
  "rho_g_cm3": 5.29,
  "lattice": [[3.617, 0.000, 0.000], [1.809, 3.133, 0.000], [1.809, 1.044, 13.660]],
  "species": ["Ca", "Hf", "Ba", "Ba"],
  "frac_coords": [[0.500, 0.500, 0.500], [0.000, 0.000, 0.000], [0.080, 0.080, 0.761], [0.920, 0.920, 0.239]]
}

***

Record 2
{
  "formula": "LiTi3Se6",
  "functional": "PBE",
  "state": "relaxed",
  "e_above_lowest_polymorph_mev_per_atom": 172,
  "final_energy_ev_per_atom": -5.64,
  "sg": "No. 14",
  "rho_g_cm3": 5.05,
  "lattice": [[6.279, 0.000, 0.055], [0.000, 6.500, 0.000], [0.151, 0.000, 10.054]],
  "species": ["Li", "Li", "Ti", "Ti", "Ti", "Ti", "Ti", "Ti", "Se", "Se", "Se", "Se", "Se", "Se", "Se", "Se", "Se", "Se", "Se", "Se"],
  "frac_coords": [[0.500, 0.500, 0.500], [0.000, 0.000, 0.000], [0.569, 0.858, 0.748], [0.500, 0.500, 0.000], [0.431, 0.142, 0.252], [0.069, 0.642, 0.248], [0.000, 0.000, 0.500], [0.931, 0.358, 0.752], [0.670, 0.164, 0.910], [0.671, 0.174, 0.591], [0.676, 0.445, 0.229], [0.324, 0.555, 0.771], [0.329, 0.826, 0.409], [0.330, 0.836, 0.090], [0.170, 0.336, 0.410], [0.171, 0.326, 0.091], [0.176, 0.055, 0.729], [0.824, 0.945, 0.271], [0.829, 0.674, 0.909], [0.830, 0.664, 0.590]]
}

***

Record 3
{
  "formula": "U2HBr8",
  "functional": "PBE",
  "state": "relaxed",
  "final_energy_ev_per_atom": -4.64,
  "sg": "No. 12",
  "rho_g_cm3": 4.06,
  "lattice": [[-1.184, 7.751, 2.253], [-7.330, -2.213, 1.117], [4.170, -1.941, 6.222]],
  "species": ["U", "U", "H", "Br", "Br", "Br", "Br", "Br", "Br", "Br", "Br"],
  "frac_coords": [[0.262, 0.074, 0.074], [0.738, 0.926, 0.926], [0.000, 0.000, 0.000], [0.751, 0.155, 0.735], [0.249, 0.265, 0.845], [0.604, 0.204, 0.204], [0.396, 0.796, 0.796], [0.751, 0.735, 0.155], [0.249, 0.845, 0.265], [0.156, 0.337, 0.337], [0.844, 0.663, 0.663]]
}

***

Record 4
{
  "formula": "KY2Cd",
  "functional": "PBE",
  "state": "relaxed",
  "final_energy_ev_per_atom": -3.28,
  "formation_enthalpy_0k_ev_per_atom": 0.45,
  "sg": "No. 122",
  "rho_g_cm3": 3.94,
  "lattice": [[-3.674, -2.904, 0.750], [1.286, -0.455, 4.543], [-8.244, 8.007, 5.612]],
  "species": ["Y", "Y", "Y", "Y", "K", "K", "Cd", "Cd"],
  "frac_coords": [[0.644, 0.125, 0.250], [0.106, 0.625, 0.250], [0.375, 0.356, 0.750], [0.875, 0.894, 0.750], [0.500, 0.500, 0.000], [0.250, 0.750, 0.500], [0.000, 0.000, 0.000], [0.750, 0.250, 0.500]]
}

***

Record 5
{
  "formula": "TbMg2Pd",
  "functional": "PBE",
  "state": "relaxed",
  "final_energy_ev_per_atom": -3.62,
  "formation_enthalpy_0k_ev_per_atom": -0.37,
  "sg": "No. 123",
  "rho_g_cm3": 6.02,
  "lattice": [[3.336, 0.000, 0.000], [0.000, 3.336, 0.000], [0.000, 0.000, 7.781]],
  "species": ["Mg", "Mg", "Tb", "Pd"],
  "frac_coords": [[0.000, 0.000, 0.811], [0.000, 0.000, 0.189], [0.500, 0.500, 0.500], [0.500, 0.500, 0.000]]
}

***

Record 6
{
  "formula": "KMgTl2Pd",
  "functional": "PBE",
  "state": "relaxed",
  "final_energy_ev_per_atom": -2.65,
  "formation_enthalpy_0k_ev_per_atom": -0.13,
  "sg": "No. 123",
  "rho_g_cm3": 6.32,
  "lattice": [[5.422, 0.000, 0.000], [0.000, 5.422, 0.000], [0.000, 0.000, 5.168]],
  "species": ["Mg", "Tl", "Tl", "K", "Pd"],
  "frac_coords": [[0.000, 0.000, 0.500], [0.000, 0.500, 0.000], [0.500, 0.000, 0.000], [0.500, 0.500, 0.500], [0.000, 0.000, 0.000]]
}

***

Record 7
{
  "formula": "GaSn2Sb",
  "functional": "PBE",
  "state": "relaxed",
  "e_above_lowest_polymorph_mev_per_atom": 0,
  "final_energy_ev_per_atom": -3.81,
  "sg": "No. 122",
  "rho_g_cm3": 5.31,
  "lattice": [[6.435, 0.000, 0.000], [0.000, 6.435, 0.000], [3.217, 3.217, 6.480]],
  "species": ["Sb", "Sb", "Sn", "Sn", "Sn", "Sn", "Ga", "Ga"],
  "frac_coords": [[0.000, 0.000, 0.000], [0.750, 0.250, 0.500], [0.596, 0.125, 0.250], [0.154, 0.625, 0.250], [0.375, 0.404, 0.750], [0.875, 0.846, 0.750], [0.500, 0.500, 0.000], [0.250, 0.750, 0.500]]
}

***

Record 8
{
  "formula": "Tm5TlPb2",
  "functional": "PBE",
  "state": "relaxed",
  "e_above_lowest_polymorph_mev_per_atom": 242,
  "final_energy_ev_per_atom": -4.14,
  "formation_enthalpy_0k_ev_per_atom": -0.12,
  "sg": "No. 63",
  "rho_g_cm3": 10.27,
  "lattice": [[5.413, 0.000, 0.000], [-2.707, 5.749, 0.000], [0.000, 0.000, 15.208]],
  "species": ["Tm", "Tm", "Tm", "Tm", "Tm", "Tm", "Tm", "Tm", "Tm", "Tm", "Tl", "Tl", "Pb", "Pb", "Pb", "Pb"],
  "frac_coords": [[0.930, 0.861, 0.905], [0.930, 0.861, 0.595], [0.379, 0.759, 0.449], [0.379, 0.759, 0.051], [0.557, 0.115, 0.250], [0.443, 0.885, 0.750], [0.621, 0.241, 0.551], [0.621, 0.241, 0.949], [0.070, 0.139, 0.095], [0.070, 0.139, 0.405], [0.728, 0.455, 0.750], [0.272, 0.545, 0.250], [0.783, 0.565, 0.381], [0.783, 0.565, 0.119], [0.217, 0.435, 0.619], [0.217, 0.435, 0.881]]
}

***

Record 9
{
  "formula": "Tb4TeIr2",
  "functional": "PBE",
  "state": "relaxed",
  "e_above_lowest_polymorph_mev_per_atom": 52,
  "final_energy_ev_per_atom": -6.45,
  "sg": "No. 122",
  "rho_g_cm3": 10.61,
  "lattice": [[7.302, 0.000, -2.618], [-3.635, 6.353, -2.570], [-0.032, 0.000, 7.758]],
  "species": ["Tb", "Tb", "Tb", "Tb", "Tb", "Tb", "Tb", "Tb", "Te", "Te", "Ir", "Ir", "Ir", "Ir"],
  "frac_coords": [[0.157, 0.894, 0.399], [0.601, 0.758, 0.494], [0.014, 0.606, 0.756], [0.244, 0.258, 0.851], [0.593, 0.742, 0.986], [0.736, 0.242, 0.843], [0.506, 0.106, 0.264], [0.149, 0.394, 0.407], [0.000, 0.000, 0.000], [0.750, 0.500, 0.250], [0.875, 0.143, 0.518], [0.482, 0.357, 0.625], [0.375, 0.857, 0.732], [0.268, 0.643, 0.125]]
}

***

Record 10
{
  "formula": "LiTlMo2",
  "functional": "PBE",
  "state": "relaxed",
  "e_above_lowest_polymorph_mev_per_atom": 257,
  "final_energy_ev_per_atom": -5.94,
  "formation_enthalpy_0k_ev_per_atom": 0.54,
  "sg": "No. 47",
  "rho_g_cm3": 9.82,
  "lattice": [[-1.155, 2.197, 1.307], [0.983, -1.897, 4.056], [4.697, 2.460, 0.013]],
  "species": ["Li", "Mo", "Mo", "Tl"],
  "frac_coords": [[0.500, 0.500, 0.750], [0.000, 0.000, 0.978], [0.000, 0.000, 0.522], [0.500, 0.500, 0.250]]
}

***

Record 11
{
  "formula": "RbGaF3",
  "functional": "PBE",
  "state": "relaxed",
  "final_energy_ev_per_atom": -4.52,
  "sg": "No. 2",
  "rho_g_cm3": 3.29,
  "lattice": [[5.985, -0.352, 0.085], [-2.354, 7.934, 0.254], [-0.007, 1.156, 4.629]],
  "species": ["Rb", "Rb", "Ga", "Ga", "F", "F", "F", "F", "F", "F"],
  "frac_coords": [[0.932, 0.103, 0.930], [0.577, 0.397, 0.240], [0.334, 0.903, 0.596], [0.175, 0.597, 0.575], [0.864, 0.453, 0.726], [0.149, 0.551, 0.215], [0.645, 0.047, 0.445], [0.336, 0.442, 0.729], [0.360, 0.949, 0.956], [0.172, 0.057, 0.443]]
}

***

Record 12
{
  "formula": "Tl3IF",
  "functional": "PBE",
  "state": "relaxed",
  "e_above_lowest_polymorph_mev_per_atom": 0,
  "final_energy_ev_per_atom": -2.91,
  "sg": "No. 221",
  "rho_g_cm3": 7.68,
  "lattice": [[5.476, 0.000, 0.000], [0.000, 5.476, 0.000], [0.000, 0.000, 5.476]],
  "species": ["I", "Tl", "Tl", "Tl", "F"],
  "frac_coords": [[0.500, 0.500, 0.500], [0.000, 0.500, 0.000], [0.000, 0.000, 0.500], [0.500, 0.000, 0.000], [0.000, 0.000, 0.000]]
}

***

Record 13
{
  "formula": "Y2MnSe",
  "functional": "PBE",
  "state": "relaxed",
  "final_energy_ev_per_atom": -6.86,
  "sg": "No. 44",
  "rho_g_cm3": 5.62,
  "lattice": [[-2.912, -4.916, -2.914], [1.837, -2.973, -5.378], [1.727, 1.996, 5.846]],
  "species": ["Mn", "Se", "Y", "Y"],
  "frac_coords": [[0.475, 0.475, 0.000], [0.308, 0.808, 0.500], [0.990, 0.990, 0.000], [0.727, 0.227, 0.500]]
}

***

Record 14
{
  "formula": "SrLiF",
  "functional": "PBE",
  "state": "relaxed",
  "e_above_lowest_polymorph_mev_per_atom": 0,
  "final_energy_ev_per_atom": -3.61,
  "sg": "No. 139",
  "rho_g_cm3": 2.56,
  "lattice": [[-1.375, -2.756, -2.504], [3.717, -1.180, -0.743], [-1.709, -4.158, 8.663]],
  "species": ["Sr", "Sr", "Li", "Li", "F", "F"],
  "frac_coords": [[0.087, 0.087, 0.173], [0.913, 0.913, 0.827], [0.274, 0.274, 0.549], [0.726, 0.726, 0.451], [0.500, 0.000, 0.000], [0.000, 0.500, 0.000]]
}

***

Record 15
{
  "formula": "Li2ZrUS4",
  "functional": "PBE",
  "state": "relaxed",
  "final_energy_ev_per_atom": -6.46,
  "sg": "No. 10",
  "rho_g_cm3": 5.20,
  "lattice": [[-1.127, 1.027, 3.383], [-5.932, -2.075, -1.346], [3.453, -5.031, 2.678]],
  "species": ["Li", "Li", "Zr", "U", "S", "S", "S", "S"],
  "frac_coords": [[0.500, 0.000, 0.500], [0.000, 0.500, 0.500], [0.500, 0.500, 0.000], [0.000, 0.000, 0.000], [0.500, 0.262, 0.258], [0.500, 0.738, 0.742], [0.000, 0.258, 0.749], [0.000, 0.742, 0.251]]
}

***

Record 16
{
  "formula": "Te6RhBr3",
  "functional": "PBE",
  "state": "relaxed",
  "final_energy_ev_per_atom": -3.44,
  "sg": "No. 167",
  "rho_g_cm3": 5.36,
  "lattice": [[-6.866, 6.302, 1.867], [-1.790, -3.973, -8.447], [-0.285, -6.800, 6.635]],
  "species": ["Te", "Te", "Te", "Te", "Te", "Te", "Te", "Te", "Te", "Te", "Te", "Te", "Rh", "Rh", "Br", "Br", "Br", "Br", "Br", "Br"],
  "frac_coords": [[0.930, 0.169, 0.186], [0.186, 0.930, 0.169], [0.169, 0.186, 0.930], [0.686, 0.669, 0.430], [0.430, 0.686, 0.669], [0.669, 0.430, 0.686], [0.070, 0.831, 0.814], [0.814, 0.070, 0.831], [0.831, 0.814, 0.070], [0.314, 0.331, 0.570], [0.570, 0.314, 0.331], [0.331, 0.570, 0.314], [0.250, 0.250, 0.250], [0.750, 0.750, 0.750], [0.989, 0.511, 0.250], [0.250, 0.989, 0.511], [0.511, 0.250, 0.989], [0.750, 0.011, 0.489], [0.489, 0.750, 0.011], [0.011, 0.489, 0.750]]
}

***

Record 17
{
  "formula": "InHg15",
  "functional": "PBE",
  "state": "relaxed",
  "final_energy_ev_per_atom": -0.46,
  "formation_enthalpy_0k_ev_per_atom": 0.00,
  "sg": "No. 187",
  "rho_g_cm3": 11.59,
  "lattice": [[6.864, 0.000, 0.000], [-3.432, 5.944, 0.000], [0.000, 0.000, 10.970]],
  "species": ["In", "Hg", "Hg", "Hg", "Hg", "Hg", "Hg", "Hg", "Hg", "Hg", "Hg", "Hg", "Hg", "Hg", "Hg", "Hg"],
  "frac_coords": [[0.000, 0.000, 0.000], [0.000, 0.000, 0.500], [0.002, 0.501, 0.000], [0.000, 0.500, 0.500], [0.499, 0.998, 0.000], [0.500, 0.000, 0.500], [0.499, 0.501, 0.000], [0.500, 0.500, 0.500], [0.833, 0.167, 0.251], [0.833, 0.167, 0.749], [0.833, 0.665, 0.251], [0.833, 0.665, 0.749], [0.335, 0.167, 0.251], [0.335, 0.167, 0.749], [0.333, 0.667, 0.251], [0.333, 0.667, 0.749]]
}